(P)
This record from Alexandria via LeMat-Bulk describes KTe2IBr after structural relaxation. The functional is GGA-PBE.

Unit cell a=6.854 b=6.854 c=6.357 alpha=90.00 beta=90.00 gamma=90.00
Space group P4/mmm (No. 123)
Unique sites:
K 0.000 0.000 0.000 (multiplicity 1)
Te 0.000 0.500 0.000 (multiplicity 2)
I 0.000 0.000 0.500 (multiplicity 1)
Br 0.500 0.500 0.500 (multiplicity 1)

## Properties
crystal system	tetragonal
calculated density	2.79	g cm⁻³


(Q)
This record from Alexandria via LeMat-Bulk describes KTe2IBr after structural relaxation. The functional is GGA-PBE.

Unit cell a=5.545 b=5.545 c=8.132 alpha=90.00 beta=90.00 gamma=90.00
Space group P4/mmm (No. 123)
Unique sites:
K 0.000 0.000 0.000 (multiplicity 1)
Te 0.000 0.500 0.500 (multiplicity 2)
I 0.500 0.500 0.000 (multiplicity 1)
Br 0.500 0.500 0.500 (multiplicity 1)

## Properties
crystal system	tetragonal
calculated density	3.33	g cm⁻³


Least stable: (P)


(P)
This record from Alexandria via LeMat-Bulk describes KTeI2Br after structural relaxation. The functional is GGA-PBE.

Unit cell a=6.334 b=6.334 c=5.587 alpha=90.00 beta=90.00 gamma=90.00
Space group P4/mmm (No. 123)
Unique sites:
K 0.000 0.000 0.000 (multiplicity 1)
Te 0.500 0.500 0.500 (multiplicity 1)
I 0.000 0.500 0.500 (multiplicity 2)
Br 0.500 0.500 0.000 (multiplicity 1)

## Properties
crystal system	tetragonal
calculated density	3.71	g cm⁻³


(Q)
This record from Alexandria via LeMat-Bulk describes KTeI2Br after structural relaxation. The functional is GGA-PBE.

Unit cell a=6.544 b=6.544 c=7.030 alpha=90.00 beta=90.00 gamma=90.00
Space group P4/mmm (No. 123)
Unique sites:
K 0.000 0.000 0.000 (multiplicity 1)
Te 0.000 0.000 0.500 (multiplicity 1)
I 0.000 0.500 0.000 (multiplicity 2)
Br 0.500 0.500 0.500 (multiplicity 1)

## Properties
crystal system	tetragonal
calculated density	2.76	g cm⁻³


Least stable: (Q)


(P)
This record from Alexandria via LeMat-Bulk describes KTeI2Br after structural relaxation. The functional is GGA-PBE.

Unit cell a=5.994 b=5.994 c=5.784 alpha=90.00 beta=90.00 gamma=90.00
Space group P4/mmm (No. 123)
Unique sites:
K 0.000 0.000 0.000 (multiplicity 1)
Te 0.500 0.500 0.000 (multiplicity 1)
I 0.000 0.500 0.500 (multiplicity 2)
Br 0.500 0.500 0.500 (multiplicity 1)

## Properties
crystal system	tetragonal
calculated density	4.00	g cm⁻³


(Q)
This record from Alexandria via LeMat-Bulk describes KTeI2Br after structural relaxation. The functional is GGA-PBE.

Unit cell a=6.034 b=6.034 c=6.287 alpha=90.00 beta=90.00 gamma=90.00
Space group P4/mmm (No. 123)
Unique sites:
K 0.000 0.000 0.000 (multiplicity 1)
Te 0.500 0.500 0.000 (multiplicity 1)
I 0.000 0.500 0.500 (multiplicity 2)
Br 0.000 0.000 0.500 (multiplicity 1)

## Properties
crystal system	tetragonal
calculated density	3.63	g cm⁻³


Least stable: (Q)


(P)
This record from Alexandria via LeMat-Bulk describes KTlIBr after structural relaxation. The functional is GGA-PBE.

Unit cell a=4.7640 b=4.7640 c=25.3728 alpha=90.00 beta=90.00 gamma=120.00
Space group R3m (No. 160, hexagonal axes)
Unique sites:
K 0.0000 0.0000 0.0000 (multiplicity 3)
Tl 0.0000 0.0000 0.1584 (multiplicity 3)
I 0.0000 0.0000 0.5775 (multiplicity 3)
Br 0.0000 0.0000 0.4069 (multiplicity 3)

## Properties
crystal system	trigonal
calculated density	4.50	g cm⁻³


(Q)
This record from Alexandria via LeMat-Bulk describes KTlIBr after structural relaxation. The functional is GGA-PBE.

Unit cell a=8.344 b=8.344 c=8.344 alpha=90.00 beta=90.00 gamma=90.00
Space group F-43m (No. 216)
Unique sites:
K 0.000 0.000 0.000 (multiplicity 4)
Tl 0.000 0.000 0.500 (multiplicity 4)
I 0.250 0.250 0.750 (multiplicity 4)
Br 0.250 0.250 0.250 (multiplicity 4)

## Properties
crystal system	cubic
calculated density	5.15	g cm⁻³


Least stable: (Q)


(P)
This record from Alexandria via LeMat-Bulk describes KZnIBr2 after structural relaxation. The functional is GGA-PBE.

Unit cell a=7.953 b=6.160 c=8.390 alpha=90.00 beta=102.73 gamma=90.00
Space group P2_1/m (No. 11)
Unique sites:
K 0.222 0.250 0.337 (multiplicity 2)
Zn 0.419 0.250 0.844 (multiplicity 2)
I 0.091 0.250 0.736 (multiplicity 2)
Br 0.405 0.750 0.353 (multiplicity 2)
Br 0.448 0.750 0.870 (multiplicity 2)

## Properties
crystal system	monoclinic
calculated density	3.24	g cm⁻³


(Q)
This record from Alexandria via LeMat-Bulk describes KZnIBr2 after structural relaxation. The functional is GGA-PBE.

Unit cell a=5.297 b=5.297 c=5.749 alpha=90.00 beta=90.00 gamma=90.00
Space group P4/mmm (No. 123)
Unique sites:
K 0.000 0.000 0.000 (multiplicity 1)
Zn 0.500 0.500 0.500 (multiplicity 1)
I 0.500 0.500 0.000 (multiplicity 1)
Br 0.000 0.500 0.500 (multiplicity 2)

## Properties
crystal system	tetragonal
calculated density	4.03	g cm⁻³


Least stable: (Q)


(P)
This record from Alexandria via LeMat-Bulk describes LaIBr after structural relaxation. The functional is GGA-PBE.

Unit cell a=6.402 b=7.866 c=8.661 alpha=90.00 beta=110.71 gamma=90.00
Space group P2_1/c (No. 14)
Unique sites:
La 0.160 0.199 0.036 (multiplicity 4)
I 0.422 0.696 0.615 (multiplicity 4)
Br 0.013 0.002 0.287 (multiplicity 4)

## Properties
crystal system	monoclinic
calculated density	5.63	g cm⁻³


(Q)
This record from Alexandria via LeMat-Bulk describes LaIBr after structural relaxation. The functional is GGA-PBE.

Unit cell a=7.601 b=7.601 c=7.601 alpha=90.00 beta=90.00 gamma=90.00
Space group F-43m (No. 216)
Unique sites:
La 0.000 0.000 0.000 (multiplicity 4)
I 0.250 0.250 0.750 (multiplicity 4)
Br 0.250 0.250 0.250 (multiplicity 4)

## Properties
crystal system	cubic
calculated density	5.23	g cm⁻³


Least stable: (Q)


(P)
This record from Alexandria via LeMat-Bulk describes LaIBr after structural relaxation. The functional is GGA-PBE.

Unit cell a=15.555 b=3.844 c=3.842 alpha=90.00 beta=90.27 gamma=90.00
Space group Cm (No. 8)
Unique sites:
La 0.000 0.000 0.000 (multiplicity 2)
I 0.375 0.000 0.498 (multiplicity 2)
Br 0.109 0.500 0.502 (multiplicity 2)

## Properties
crystal system	monoclinic
calculated density	5.00	g cm⁻³


(Q)
This record from Alexandria via LeMat-Bulk describes LaIBr after structural relaxation. The functional is GGA-PBE.

Unit cell a=5.413 b=5.415 c=8.232 alpha=90.00 beta=108.52 gamma=90.00
Space group P2_1/m (No. 11)
Unique sites:
La 0.250 0.250 0.000 (multiplicity 2)
I 0.126 0.750 0.742 (multiplicity 2)
Br 0.352 0.750 0.210 (multiplicity 2)

## Properties
crystal system	monoclinic
calculated density	5.02	g cm⁻³


(R)
This record from Alexandria via LeMat-Bulk describes LaIBr after structural relaxation. The functional is GGA-PBE.

Unit cell a=4.2262 b=4.2262 c=7.8339 alpha=90.00 beta=90.00 gamma=120.00
Space group P3m1 (No. 156)
Unique sites:
La 0.0000 0.0000 0.0000 (multiplicity 1)
I 0.3333 0.6667 0.7300 (multiplicity 1)
Br 0.6667 0.3333 0.2373 (multiplicity 1)

## Properties
crystal system	trigonal
calculated density	4.74	g cm⁻³


Least stable: (R)


(P)
This record from Alexandria via LeMat-Bulk describes LaI2BrO after structural relaxation. The functional is GGA-PBE.

Unit cell a=6.160 b=6.160 c=4.008 alpha=90.00 beta=90.00 gamma=90.00
Space group P4/mmm (No. 123)
Unique sites:
La 0.000 0.000 0.000 (multiplicity 1)
I 0.000 0.500 0.500 (multiplicity 2)
Br 0.500 0.500 0.500 (multiplicity 1)
O 0.500 0.500 0.000 (multiplicity 1)

## Properties
crystal system	tetragonal
calculated density	5.34	g cm⁻³


(Q)
This record from Alexandria via LeMat-Bulk describes LaI2BrO after structural relaxation. The functional is GGA-PBE.

Unit cell a=6.641 b=6.641 c=4.274 alpha=90.00 beta=90.00 gamma=90.00
Space group P4/mmm (No. 123)
Unique sites:
La 0.000 0.000 0.000 (multiplicity 1)
I 0.000 0.500 0.000 (multiplicity 2)
Br 0.500 0.500 0.500 (multiplicity 1)
O 0.000 0.000 0.500 (multiplicity 1)

## Properties
crystal system	tetragonal
calculated density	4.30	g cm⁻³


Least stable: (P)